TlNiIr2 | GGA-PBEsol | optimized geometry

For the offset from the most stable computed form, the calculation gives 0.371 eV per formula unit. The value obtained for the raw total energy is -6.6688 eV/atom. The calculation puts the formation energy at 0.440 eV per atom. The calculation puts the calculated volume at 14.914 A^3/atom.

POSCAR file:
```
TlNiIr2
1.0
-0.712 3.850 -0.623
-3.511 -0.357 1.807
3.738 -0.908 2.732
Ir Ni Tl
2 1 1
Direct
0.000 0.000 0.000 Ir
0.750 0.250 0.500 Ir
0.500 0.500 0.000 Ni
0.250 0.750 0.500 Tl
```